Model P:
{"formula": "Tb4Sb2Te", "functional": "PBE", "state": "relaxed", "dos_at_fermi_per_ev_fu": 5.7, "vol_a3_per_atom": 30.99, "lattice_angstrom": [[7.674, 0.000, 0.000], [0.000, 6.717, 0.000], [-3.482, 0.000, 8.419]], "species": ["Tb", "Tb", "Tb", "Tb", "Tb", "Tb", "Tb", "Tb", "Sb", "Sb", "Sb", "Sb", "Te", "Te"], "fractional_positions": [[0.095, 0.250, 0.080], [0.190, 0.750, 0.346], [0.271, 0.003, 0.765], [0.271, 0.497, 0.765], [0.729, 0.503, 0.235], [0.729, 0.997, 0.235], [0.810, 0.250, 0.654], [0.905, 0.750, 0.920], [0.078, 0.250, 0.445], [0.341, 0.750, 0.072], [0.659, 0.250, 0.928], [0.922, 0.750, 0.555], [0.476, 0.250, 0.350], [0.524, 0.750, 0.650]]}

***

Model Q:
{"formula": "Tb4Sb2Te", "functional": "PBE", "state": "relaxed", "dos_at_fermi_per_ev_fu": 7.2, "vol_a3_per_atom": 27.93, "lattice_angstrom": [[-4.599, 4.599, 4.621], [4.599, -4.599, 4.621], [4.599, 4.599, -4.621]], "species": ["Tb", "Tb", "Tb", "Tb", "Tb", "Tb", "Tb", "Tb", "Sb", "Sb", "Sb", "Sb", "Te", "Te"], "fractional_positions": [[0.127, 0.231, 0.749], [0.128, 0.733, 0.751], [0.267, 0.019, 0.395], [0.483, 0.378, 0.251], [0.622, 0.873, 0.105], [0.623, 0.872, 0.605], [0.769, 0.517, 0.895], [0.981, 0.377, 0.249], [0.249, 0.625, 0.124], [0.375, 0.499, 0.624], [0.501, 0.125, 0.876], [0.875, 0.751, 0.376], [0.000, 0.000, 0.000], [0.750, 0.250, 0.500]]}

***

Winner for stability: model Q

***

Model P:
{"formula": "TbThSbTe", "functional": "PBE", "state": "relaxed", "dos_at_fermi_per_ev_fu": 3.7, "vol_a3_per_atom": 28.00, "lattice_angstrom": [[7.652, 0.000, 0.000], [0.000, 7.652, 0.000], [0.000, 0.000, 7.652]], "species": ["Tb", "Tb", "Tb", "Tb", "Th", "Th", "Th", "Th", "Sb", "Sb", "Sb", "Sb", "Te", "Te", "Te", "Te"], "fractional_positions": [[0.000, 0.000, 0.000], [0.000, 0.500, 0.500], [0.500, 0.000, 0.500], [0.500, 0.500, 0.000], [0.000, 0.000, 0.500], [0.000, 0.500, 0.000], [0.500, 0.000, 0.000], [0.500, 0.500, 0.500], [0.250, 0.250, 0.750], [0.250, 0.750, 0.250], [0.750, 0.250, 0.250], [0.750, 0.750, 0.750], [0.250, 0.250, 0.250], [0.250, 0.750, 0.750], [0.750, 0.250, 0.750], [0.750, 0.750, 0.250]]}

***

Model Q:
{"formula": "TbThSbTe", "functional": "PBE", "state": "relaxed", "dos_at_fermi_per_ev_fu": 2.8, "vol_a3_per_atom": 31.04, "lattice_angstrom": [[4.442, 0.000, 0.000], [0.000, 4.442, 0.000], [0.000, 0.000, 6.290]], "species": ["Tb", "Th", "Sb", "Te"], "fractional_positions": [[0.000, 0.000, 0.000], [0.500, 0.500, 0.500], [0.500, 0.500, 0.000], [0.000, 0.000, 0.500]]}

***

Winner for stability: model Q

***

Model P:
{"formula": "Tb2ThSb", "functional": "PBE", "state": "relaxed", "dos_at_fermi_per_ev_fu": 3.4, "vol_a3_per_atom": 28.32, "lattice_angstrom": [[4.907, 0.000, 0.000], [0.000, 4.907, 0.000], [0.000, 0.000, 4.705]], "species": ["Tb", "Tb", "Th", "Sb"], "fractional_positions": [[0.000, 0.500, 0.000], [0.500, 0.000, 0.000], [0.000, 0.000, 0.500], [0.500, 0.500, 0.500]]}

***

Model Q:
{"formula": "Tb2ThSb", "functional": "PBE", "state": "relaxed", "dos_at_fermi_per_ev_fu": 4.7, "vol_a3_per_atom": 32.01, "lattice_angstrom": [[3.925, 0.000, 0.000], [-1.962, 3.399, 0.000], [0.000, 0.000, 28.790]], "species": ["Tb", "Tb", "Tb", "Tb", "Tb", "Tb", "Th", "Th", "Th", "Sb", "Sb", "Sb"], "fractional_positions": [[0.000, 0.000, 0.236], [0.000, 0.000, 0.764], [0.333, 0.667, 0.431], [0.333, 0.667, 0.903], [0.667, 0.333, 0.097], [0.667, 0.333, 0.569], [0.000, 0.000, 0.000], [0.333, 0.667, 0.667], [0.667, 0.333, 0.333], [0.000, 0.000, 0.500], [0.333, 0.667, 0.167], [0.667, 0.333, 0.833]]}

***

Model R:
{"formula": "Tb2ThSb", "functional": "PBE", "state": "relaxed", "dos_at_fermi_per_ev_fu": 4.7, "vol_a3_per_atom": 28.89, "lattice_angstrom": [[3.936, 0.000, 0.000], [0.000, 3.936, 0.000], [0.000, 0.000, 7.459]], "species": ["Tb", "Tb", "Th", "Sb"], "fractional_positions": [[0.000, 0.000, 0.219], [0.000, 0.000, 0.781], [0.500, 0.500, 0.500], [0.500, 0.500, 0.000]]}

***

Winner for stability: model R

***

Model P:
{"formula": "Tb5TlSb4", "functional": "PBE", "state": "relaxed", "dos_at_fermi_per_ev_fu": 5.5, "vol_a3_per_atom": 30.24, "lattice_angstrom": [[-2.203, 2.203, 15.577], [2.203, -2.203, 15.577], [2.203, 2.203, -15.577]], "species": ["Tb", "Tb", "Tb", "Tb", "Tb", "Tl", "Sb", "Sb", "Sb", "Sb"], "fractional_positions": [[0.000, 0.000, 0.000], [0.200, 0.200, 0.000], [0.397, 0.397, 0.000], [0.603, 0.603, 0.000], [0.800, 0.800, 0.000], [0.500, 0.500, 0.000], [0.099, 0.099, 0.000], [0.299, 0.299, 0.000], [0.701, 0.701, 0.000], [0.901, 0.901, 0.000]]}

***

Model Q:
{"formula": "Tb5TlSb4", "functional": "PBE", "state": "relaxed", "dos_at_fermi_per_ev_fu": 5.4, "vol_a3_per_atom": 30.22, "lattice_angstrom": [[-4.931, 4.931, 3.107], [4.931, -4.931, 3.107], [4.931, 4.931, -3.107]], "species": ["Tb", "Tb", "Tb", "Tb", "Tb", "Tl", "Sb", "Sb", "Sb", "Sb"], "fractional_positions": [[0.000, 0.000, 0.000], [0.191, 0.396, 0.588], [0.396, 0.809, 0.205], [0.604, 0.191, 0.795], [0.809, 0.604, 0.412], [0.500, 0.500, 0.000], [0.101, 0.701, 0.802], [0.299, 0.101, 0.400], [0.701, 0.899, 0.600], [0.899, 0.299, 0.198]]}

***

Winner for stability: model P

***

Model P:
{"formula": "Tb2TmSb", "functional": "PBE", "state": "relaxed", "dos_at_fermi_per_ev_fu": 3.7, "vol_a3_per_atom": 28.54, "lattice_angstrom": [[4.143, 0.000, 0.000], [0.000, 4.143, 0.000], [0.000, 0.000, 6.651]], "species": ["Tb", "Tb", "Tm", "Sb"], "fractional_positions": [[0.000, 0.000, 0.236], [0.000, 0.000, 0.764], [0.500, 0.500, 0.500], [0.500, 0.500, 0.000]]}

***

Model Q:
{"formula": "Tb2TmSb", "functional": "PBE", "state": "relaxed", "dos_at_fermi_per_ev_fu": 4.6, "vol_a3_per_atom": 32.59, "lattice_angstrom": [[4.001, 0.000, 0.000], [-2.000, 3.465, 0.000], [0.000, 0.000, 28.215]], "species": ["Tb", "Tb", "Tb", "Tb", "Tb", "Tb", "Tm", "Tm", "Tm", "Sb", "Sb", "Sb"], "fractional_positions": [[0.000, 0.000, 0.000], [0.000, 0.000, 0.196], [0.333, 0.667, 0.667], [0.333, 0.667, 0.862], [0.667, 0.333, 0.333], [0.667, 0.333, 0.529], [0.000, 0.000, 0.431], [0.333, 0.667, 0.098], [0.667, 0.333, 0.765], [0.000, 0.000, 0.597], [0.333, 0.667, 0.264], [0.667, 0.333, 0.931]]}

***

Winner for stability: model P

***

Model P:
{"formula": "Tb2TmSb", "functional": "PBE", "state": "relaxed", "dos_at_fermi_per_ev_fu": 3.9, "vol_a3_per_atom": 28.91, "lattice_angstrom": [[4.571, 0.000, 0.000], [0.000, 4.530, 0.000], [-2.282, 0.000, 11.169]], "species": ["Tb", "Tb", "Tb", "Tb", "Tm", "Tm", "Sb", "Sb"], "fractional_positions": [[0.062, 0.250, 0.124], [0.435, 0.250, 0.870], [0.565, 0.750, 0.130], [0.938, 0.750, 0.876], [0.307, 0.750, 0.615], [0.693, 0.250, 0.385], [0.171, 0.750, 0.342], [0.829, 0.250, 0.658]]}

***

Model Q:
{"formula": "Tb2TmSb", "functional": "PBE", "state": "relaxed", "dos_at_fermi_per_ev_fu": 4.8, "vol_a3_per_atom": 27.18, "lattice_angstrom": [[4.765, 0.000, 0.000], [0.000, 4.765, 0.000], [0.000, 0.000, 4.787]], "species": ["Tb", "Tb", "Tm", "Sb"], "fractional_positions": [[0.000, 0.500, 0.000], [0.500, 0.000, 0.000], [0.000, 0.000, 0.500], [0.500, 0.500, 0.500]]}

***

Model R:
{"formula": "Tb2TmSb", "functional": "PBE", "state": "relaxed", "dos_at_fermi_per_ev_fu": 4.8, "vol_a3_per_atom": 32.78, "lattice_angstrom": [[3.969, 0.000, 0.000], [-1.985, 3.437, 0.000], [0.000, 0.000, 28.831]], "species": ["Tb", "Tb", "Tb", "Tb", "Tb", "Tb", "Tm", "Tm", "Tm", "Sb", "Sb", "Sb"], "fractional_positions": [[0.000, 0.000, 0.235], [0.000, 0.000, 0.765], [0.333, 0.667, 0.432], [0.333, 0.667, 0.901], [0.667, 0.333, 0.099], [0.667, 0.333, 0.568], [0.000, 0.000, 0.000], [0.333, 0.667, 0.667], [0.667, 0.333, 0.333], [0.000, 0.000, 0.500], [0.333, 0.667, 0.167], [0.667, 0.333, 0.833]]}

***

Winner for stability: model P

***

Model P:
{"formula": "Tb2YSb", "functional": "PBE", "state": "relaxed", "dos_at_fermi_per_ev_fu": 6.1, "vol_a3_per_atom": 30.40, "lattice_angstrom": [[4.144, 0.000, 0.000], [0.000, 12.192, 0.000], [0.000, 0.000, 9.628]], "species": ["Tb", "Tb", "Tb", "Tb", "Tb", "Tb", "Tb", "Tb", "Y", "Y", "Y", "Y", "Sb", "Sb", "Sb", "Sb"], "fractional_positions": [[0.000, 0.137, 0.047], [0.000, 0.137, 0.453], [0.000, 0.863, 0.547], [0.000, 0.863, 0.953], [0.500, 0.363, 0.547], [0.500, 0.363, 0.953], [0.500, 0.637, 0.047], [0.500, 0.637, 0.453], [0.000, 0.439, 0.250], [0.000, 0.561, 0.750], [0.500, 0.061, 0.750], [0.500, 0.939, 0.250], [0.000, 0.259, 0.750], [0.000, 0.741, 0.250], [0.500, 0.241, 0.250], [0.500, 0.759, 0.750]]}

***

Model Q:
{"formula": "Tb2YSb", "functional": "PBE", "state": "relaxed", "dos_at_fermi_per_ev_fu": 4.3, "vol_a3_per_atom": 33.24, "lattice_angstrom": [[4.017, 0.000, 0.000], [-2.009, 3.479, 0.000], [0.000, 0.000, 28.545]], "species": ["Tb", "Tb", "Tb", "Tb", "Tb", "Tb", "Y", "Y", "Y", "Sb", "Sb", "Sb"], "fractional_positions": [[0.000, 0.000, 0.000], [0.000, 0.000, 0.198], [0.333, 0.667, 0.667], [0.333, 0.667, 0.864], [0.667, 0.333, 0.333], [0.667, 0.333, 0.531], [0.000, 0.000, 0.765], [0.333, 0.667, 0.432], [0.667, 0.333, 0.099], [0.000, 0.000, 0.599], [0.333, 0.667, 0.266], [0.667, 0.333, 0.933]]}

***

Winner for stability: model P

***

Model P:
{"formula": "Tb2YSb", "functional": "PBE", "state": "relaxed", "dos_at_fermi_per_ev_fu": 4.7, "vol_a3_per_atom": 27.67, "lattice_angstrom": [[4.773, 0.000, 0.000], [0.000, 4.773, 0.000], [0.000, 0.000, 4.858]], "species": ["Tb", "Tb", "Y", "Sb"], "fractional_positions": [[0.000, 0.500, 0.000], [0.500, 0.000, 0.000], [0.000, 0.000, 0.500], [0.500, 0.500, 0.500]]}

***

Model Q:
{"formula": "Tb2YSb", "functional": "PBE", "state": "relaxed", "dos_at_fermi_per_ev_fu": 4.5, "vol_a3_per_atom": 29.04, "lattice_angstrom": [[4.153, 0.000, 0.000], [0.000, 4.153, 0.000], [0.000, 0.000, 6.734]], "species": ["Tb", "Tb", "Y", "Sb"], "fractional_positions": [[0.000, 0.000, 0.232], [0.000, 0.000, 0.768], [0.500, 0.500, 0.500], [0.500, 0.500, 0.000]]}

***

Winner for stability: model Q

***

Model P:
{"formula": "TbYSb2", "functional": "PBE", "state": "relaxed", "dos_at_fermi_per_ev_fu": 0.8, "vol_a3_per_atom": 31.03, "lattice_angstrom": [[4.367, 0.000, 0.000], [-2.184, 3.782, 0.000], [0.000, 0.000, 7.515]], "species": ["Tb", "Y", "Sb", "Sb"], "fractional_positions": [[0.000, 0.000, 0.000], [0.000, 0.000, 0.500], [0.333, 0.667, 0.251], [0.667, 0.333, 0.749]]}

***

Model Q:
{"formula": "TbYSb2", "functional": "PBE", "state": "relaxed", "dos_at_fermi_per_ev_fu": 0.7, "vol_a3_per_atom": 30.06, "lattice_angstrom": [[4.398, 0.000, 0.000], [-2.199, 3.809, 0.000], [0.000, 0.000, 21.536]], "species": ["Tb", "Tb", "Tb", "Y", "Y", "Y", "Sb", "Sb", "Sb", "Sb", "Sb", "Sb"], "fractional_positions": [[0.000, 0.000, 0.000], [0.333, 0.667, 0.667], [0.667, 0.333, 0.333], [0.000, 0.000, 0.500], [0.333, 0.667, 0.167], [0.667, 0.333, 0.833], [0.000, 0.000, 0.250], [0.000, 0.000, 0.750], [0.333, 0.667, 0.417], [0.333, 0.667, 0.916], [0.667, 0.333, 0.084], [0.667, 0.333, 0.583]]}

***

Winner for stability: model Q

***

Model P:
{"formula": "TbYSb2", "functional": "PBE", "state": "relaxed", "dos_at_fermi_per_ev_fu": 0.4, "vol_a3_per_atom": 30.71, "lattice_angstrom": [[4.362, 0.000, 0.000], [-2.181, 3.778, 0.000], [0.000, 0.000, 22.358]], "species": ["Tb", "Tb", "Tb", "Y", "Y", "Y", "Sb", "Sb", "Sb", "Sb", "Sb", "Sb"], "fractional_positions": [[0.000, 0.000, 0.000], [0.333, 0.667, 0.667], [0.667, 0.333, 0.333], [0.000, 0.000, 0.171], [0.333, 0.667, 0.837], [0.667, 0.333, 0.504], [0.000, 0.000, 0.584], [0.000, 0.000, 0.753], [0.333, 0.667, 0.250], [0.333, 0.667, 0.420], [0.667, 0.333, 0.087], [0.667, 0.333, 0.917]]}

***

Model Q:
{"formula": "TbYSb2", "functional": "PBE", "state": "relaxed", "dos_at_fermi_per_ev_fu": 0.6, "vol_a3_per_atom": 30.04, "lattice_angstrom": [[4.397, 0.000, 0.000], [0.000, 6.215, 0.000], [0.000, 0.000, 8.794]], "species": ["Tb", "Tb", "Y", "Y", "Sb", "Sb", "Sb", "Sb"], "fractional_positions": [[0.250, 0.250, 0.125], [0.750, 0.750, 0.875], [0.250, 0.250, 0.625], [0.750, 0.750, 0.375], [0.250, 0.750, 0.125], [0.250, 0.750, 0.625], [0.750, 0.250, 0.375], [0.750, 0.250, 0.875]]}

***

Winner for stability: model Q

***

Model P:
{"formula": "TbY2Sb", "functional": "PBE", "state": "relaxed", "dos_at_fermi_per_ev_fu": 5.3, "vol_a3_per_atom": 29.15, "lattice_angstrom": [[3.999, 0.000, 0.000], [0.000, 3.999, 0.000], [0.000, 0.000, 7.289]], "species": ["Tb", "Y", "Y", "Sb"], "fractional_positions": [[0.000, 0.000, 0.000], [0.500, 0.500, 0.277], [0.500, 0.500, 0.723], [0.000, 0.000, 0.500]]}

***

Model Q:
{"formula": "TbY2Sb", "functional": "PBE", "state": "relaxed", "dos_at_fermi_per_ev_fu": 4.1, "vol_a3_per_atom": 33.01, "lattice_angstrom": [[4.012, 0.000, 0.000], [-2.006, 3.475, 0.000], [0.000, 0.000, 28.415]], "species": ["Tb", "Tb", "Tb", "Y", "Y", "Y", "Y", "Y", "Y", "Sb", "Sb", "Sb"], "fractional_positions": [[0.000, 0.000, 0.000], [0.333, 0.667, 0.667], [0.667, 0.333, 0.333], [0.000, 0.000, 0.567], [0.000, 0.000, 0.765], [0.333, 0.667, 0.234], [0.333, 0.667, 0.432], [0.667, 0.333, 0.099], [0.667, 0.333, 0.901], [0.000, 0.000, 0.166], [0.333, 0.667, 0.832], [0.667, 0.333, 0.499]]}

***

Winner for stability: model P

***

Model P:
{"formula": "TbY2Sb", "functional": "PBE", "state": "relaxed", "dos_at_fermi_per_ev_fu": 5.0, "vol_a3_per_atom": 27.68, "lattice_angstrom": [[4.822, 0.000, 0.000], [0.000, 4.822, 0.000], [0.000, 0.000, 4.761]], "species": ["Tb", "Y", "Y", "Sb"], "fractional_positions": [[0.000, 0.000, 0.000], [0.000, 0.500, 0.500], [0.500, 0.000, 0.500], [0.500, 0.500, 0.000]]}

***

Model Q:
{"formula": "TbY2Sb", "functional": "PBE", "state": "relaxed", "dos_at_fermi_per_ev_fu": 5.5, "vol_a3_per_atom": 33.20, "lattice_angstrom": [[3.973, 0.000, 0.000], [-1.987, 3.441, 0.000], [0.000, 0.000, 29.138]], "species": ["Tb", "Tb", "Tb", "Y", "Y", "Y", "Y", "Y", "Y", "Sb", "Sb", "Sb"], "fractional_positions": [[0.000, 0.000, 0.000], [0.333, 0.667, 0.667], [0.667, 0.333, 0.333], [0.000, 0.000, 0.234], [0.000, 0.000, 0.766], [0.333, 0.667, 0.433], [0.333, 0.667, 0.900], [0.667, 0.333, 0.100], [0.667, 0.333, 0.567], [0.000, 0.000, 0.500], [0.333, 0.667, 0.167], [0.667, 0.333, 0.833]]}

***

Winner for stability: model P